Entry 1:
Below is a geometry-optimized SiMoO2 structure, with properties calculated at the PBE+U level.

```
4
Lattice="1.591 0.000 6.680 -0.796 1.378 6.680 -0.796 -1.378 6.680" Properties=species:S:1:pos:R:3 pbc="T T T"
Mo 0.000 0.000 0.000
Si 0.000 0.000 10.020
O 0.000 0.000 17.605
O 0.000 0.000 2.435
```

Fermi-level density of states: 0.336 states/eV per atom
Total DFT energy (no corrections): -0.2345 hartree per atom
Space group: R-3m
Crystal system: trigonal


Entry 2:
Below is a geometry-optimized SiMoO3 structure, with properties calculated at the PBE+U level.

```
5
Lattice="3.612 0.000 0.000 0.000 3.612 0.000 0.000 0.000 3.612" Properties=species:S:1:pos:R:3 pbc="T T T"
Mo 1.806 1.806 1.806
Si 0.000 0.000 0.000
O 0.000 1.806 0.000
O 0.000 0.000 1.806
O 1.806 0.000 0.000
```

Fermi-level density of states: 0.577 states/eV per atom
Total DFT energy (no corrections): -0.2513 hartree per atom
Space group: Pm-3m
Crystal system: cubic


Entry 3:
Below is a geometry-optimized Si3Mo2O12 structure, with properties calculated at the PBE+U level.

```
68
Lattice="-7.443 -1.688 7.049 -4.062 -0.625 -9.542 7.462 -7.151 1.062" Properties=species:S:1:pos:R:3 pbc="T T T"
Si -4.895 -6.414 -0.324
Si 0.852 -3.049 -1.106
Si -0.751 -5.438 -5.923
Si -1.424 -6.918 5.772
Si -1.592 -7.913 0.253
Si -4.310 -3.077 1.093
Si 0.862 -7.468 2.950
Si -2.619 -2.545 -7.202
Si 0.266 -6.386 -2.523
Si -2.451 -1.550 -1.683
Si -3.292 -4.025 4.493
Si -4.905 -1.995 -4.380
Mo -2.022 -4.731 -0.715
Mo -5.752 -1.156 -1.246
Mo 1.700 -3.888 -4.240
Mo -2.031 -0.312 -4.771
Mo -3.721 -0.844 3.525
Mo 3.731 -3.575 0.531
Mo 0.009 -4.419 4.056
Mo 0.000 0.000 0.000
O -4.074 -3.415 -4.442
O -5.131 -2.718 -0.287
O -7.618 -1.559 -0.925
O -5.733 -2.057 -2.959
O -3.602 -5.774 -1.116
O -0.313 -7.938 6.431
O 1.868 -7.646 4.240
O 0.113 -4.179 -5.308
O -7.603 -1.620 1.957
O -0.357 -7.733 -3.234
O -1.678 -1.220 -3.098
O -2.654 -3.183 -1.689
O -1.994 -1.951 -5.801
O -4.068 -2.589 4.286
O -1.038 -5.427 -2.230
O -7.147 -4.783 -3.422
O -8.759 -4.440 -1.137
O 0.701 -3.184 -2.739
O -6.442 -3.120 6.217
O 3.560 -7.843 -3.387
O -5.417 -3.823 2.056
O -2.185 -5.393 -5.116
O -2.458 -8.419 -1.052
O -6.192 -5.574 -0.892
O 0.031 -6.048 3.012
O 1.088 -6.745 -1.143
O 3.575 -7.904 -0.505
O 1.690 -7.406 1.529
O -0.441 -3.689 -0.314
O -3.730 -1.524 -7.861
O -5.912 -1.817 -5.670
O -4.156 -5.284 3.878
O 2.149 -3.889 -0.538
O -1.585 -1.044 -0.378
O -1.858 -4.069 3.686
O 0.625 -3.329 2.580
O 1.373 -5.640 -3.486
O 2.399 -6.343 -7.647
O -4.744 -6.279 1.309
O 4.716 -5.023 -0.293
O 3.104 -4.680 1.992
O -3.005 -4.036 0.800
O 0.025 -6.874 -5.717
O -2.049 -7.512 4.370
O -1.389 -6.279 0.259
O -2.365 -8.243 1.668
O -3.686 -1.729 1.804
O -4.668 -6.134 -4.010
```

Fermi-level density of states: 0.000 states/eV per atom
Total DFT energy (no corrections): -0.2690 hartree per atom
Space group: Ia-3d
Crystal system: cubic


Entry 4:
Below is a geometry-optimized SrSiMoO5 structure, with properties calculated at the PBE+U level.

```
16
Lattice="-4.748 2.141 -2.434 -1.080 -0.304 5.639 5.021 5.434 -0.636" Properties=species:S:1:pos:R:3 pbc="T T T"
Sr -1.046 1.868 2.793
Sr 0.239 5.402 -0.224
Si -2.336 2.728 -0.046
Si 1.528 4.543 2.615
Mo 2.511 2.717 -0.318
Mo 0.000 0.000 0.000
O -0.071 1.219 4.938
O -0.736 6.052 -2.370
O -3.915 2.442 -0.460
O 3.108 4.829 3.029
O -1.488 3.502 -1.242
O 0.681 3.769 3.811
O -2.235 3.613 1.353
O 1.427 3.658 1.216
O -1.613 1.294 0.368
O 0.805 5.977 2.201
```

Total DFT energy (no corrections): -0.2724 hartree per atom
Space group: C2/c
Crystal system: monoclinic


Entry 5:
Below is a geometry-optimized TlSiMoO6 structure, with properties calculated at the PBE+U level.

```
9
Lattice="-4.041 -2.965 -0.671 0.186 -4.871 1.347 -1.708 1.251 4.759" Properties=species:S:1:pos:R:3 pbc="T T T"
Tl -5.749 -1.714 4.088
Si -3.424 -4.598 2.830
Mo -2.139 -1.987 2.605
O -4.401 -4.459 1.314
O -2.613 -5.075 4.376
O -3.639 -2.908 3.438
O -5.036 -5.069 3.505
O -2.003 -3.836 2.011
O -2.854 -6.244 2.338
```

Fermi-level density of states: 0.281 states/eV per atom
Total DFT energy (no corrections): -0.2423 hartree per atom
Space group: P312
Crystal system: trigonal


Entry 6:
Below is a geometry-optimized Tl2Si2MoO6 structure, with properties calculated at the PBE+U level.

```
11
Lattice="5.827 0.000 0.000 2.914 5.047 0.000 2.914 1.682 5.892" Properties=species:S:1:pos:R:3 pbc="T T T"
Tl 8.741 5.047 3.805
Tl 2.914 1.682 2.087
Si 5.827 3.365 4.961
Si 5.827 3.365 0.931
Mo 0.000 0.000 0.000
O 7.200 4.157 1.236
O 4.455 4.157 1.236
O 5.827 1.779 1.236
O 5.827 4.950 4.656
O 7.200 2.572 4.656
O 4.455 2.572 4.656
```

Fermi-level density of states: 0.210 states/eV per atom
Total DFT energy (no corrections): -0.2360 hartree per atom
Space group: R-3m
Crystal system: trigonal


Entry 7:
Below is a geometry-optimized V2SiMoO6 structure, with properties calculated at the PBE+U level.

```
10
Lattice="5.043 0.035 -0.012 2.549 4.421 -0.017 2.518 1.473 4.719" Properties=species:S:1:pos:R:3 pbc="T T T"
V 5.053 2.956 2.094
V 2.543 1.451 4.540
Si 2.525 1.486 0.160
Mo 7.581 4.454 2.534
O 4.047 1.350 1.059
O 4.181 4.653 1.046
O 6.934 2.914 1.054
O 5.771 4.218 3.673
O 5.768 1.709 3.679
O 3.611 2.972 3.692
```

Total DFT energy (no corrections): -0.2850 hartree per atom
Space group: P1
Crystal system: triclinic


Entry 8:
Below is a geometry-optimized Sm2MoO6 structure, with properties calculated at the PBE+U level.

```
18
Lattice="5.486 0.000 -0.840 0.000 5.906 0.000 0.356 0.000 8.142" Properties=species:S:1:pos:R:3 pbc="T T T"
Sm 5.528 2.488 5.424
Sm 3.235 5.441 5.529
Sm 2.607 0.465 1.773
Sm 0.314 3.418 1.878
Mo 2.743 2.953 -0.420
Mo 0.178 0.000 4.071
O 4.696 5.373 1.654
O 4.914 4.362 4.189
O 4.636 3.974 7.092
O 4.128 1.021 3.861
O 3.849 1.409 6.763
O 3.711 2.420 1.157
O 1.147 0.533 5.648
O 0.928 1.545 3.112
O 1.206 1.932 0.210
O 1.715 4.885 3.441
O 1.993 4.498 0.539
O 2.131 3.487 6.145
```

Fermi-level density of states: 0.000 states/eV per atom
Total DFT energy (no corrections): -0.2868 hartree per atom
Space group: P2_1/c
Crystal system: monoclinic


Entry 9:
Below is a geometry-optimized Sm5Mo2O12 structure, with properties calculated at the PBE+U level.

```
19
Lattice="-5.608 -1.699 0.086 3.886 -2.455 5.247 -2.143 7.174 2.047" Properties=species:S:1:pos:R:3 pbc="T T T"
Sm -0.709 2.571 4.556
Sm 0.304 -0.817 3.682
Sm -1.071 3.587 1.024
Sm -4.168 3.837 3.698
Sm -3.155 0.449 2.824
Mo -4.388 -1.330 0.067
Mo -1.220 -0.370 0.019
O -0.432 1.448 0.415
O 0.148 4.778 5.442
O -2.623 3.938 5.485
O 1.228 1.184 4.489
O -1.552 0.341 4.532
O -0.684 2.610 6.971
O -3.180 0.410 0.409
O -5.092 1.836 2.891
O -2.312 2.679 2.848
O -4.013 -1.758 1.938
O -1.242 -0.918 1.896
O -3.432 1.572 6.965
```

Total DFT energy (no corrections): -0.2944 hartree per atom
Space group: C2/m
Crystal system: monoclinic


Entry 10:
Below is a geometry-optimized Sm2Mo2O7 structure, with properties calculated at the PBE+U level.

```
22
Lattice="0.000 5.270 5.270 5.270 0.000 5.270 5.270 5.270 0.000" Properties=species:S:1:pos:R:3 pbc="T T T"
Sm 6.588 3.953 3.953
Sm 6.588 6.588 6.588
Sm 3.953 6.588 3.953
Sm 3.953 3.953 6.588
Mo 1.318 1.318 1.318
Mo 3.953 1.318 3.953
Mo 3.953 3.953 1.318
Mo 1.318 3.953 3.953
O 8.325 5.270 5.270
O 5.270 5.270 8.325
O 2.635 2.635 4.851
O 5.270 8.325 5.270
O 5.270 5.270 5.270
O 0.420 2.635 2.635
O 5.270 2.216 5.270
O 2.635 2.635 0.420
O 2.635 4.851 2.635
O 2.216 5.270 5.270
O 7.905 7.905 7.905
O 4.851 2.635 2.635
O 2.635 0.420 2.635
O 5.270 5.270 2.216
```

Fermi-level density of states: 0.187 states/eV per atom
Energy above the most stable polymorph in this dataset: 0 meV/atom
Total DFT energy (no corrections): -0.2881 hartree per atom
Space group: Fd-3m
Crystal system: cubic


Entry 11:
Below is a geometry-optimized SmMo2O6 structure, with properties calculated at the PBE+U level.

```
9
Lattice="4.994 0.035 0.020 0.022 4.637 -2.785 0.022 -0.094 5.408" Properties=species:S:1:pos:R:3 pbc="T T T"
Sm 0.000 0.000 0.000
Mo 2.519 3.064 -0.020
Mo 2.519 1.515 2.664
O 3.619 2.924 1.688
O 1.431 2.884 3.607
O 1.431 4.566 0.694
O 3.607 1.694 -0.964
O 1.419 1.654 0.955
O 3.607 0.012 1.949
```

Fermi-level density of states: 0.262 states/eV per atom
Total DFT energy (no corrections): -0.2776 hartree per atom
Space group: C2/m
Crystal system: monoclinic


Entry 12:
Below is a geometry-optimized SmMoO3 structure, with properties calculated at the PBE+U level.

```
10
Lattice="3.480 0.000 0.000 0.000 5.826 -1.125 0.000 0.493 6.430" Properties=species:S:1:pos:R:3 pbc="T T T"
Sm 0.870 5.302 0.432
Sm 2.610 1.017 4.872
Mo 2.610 2.564 1.786
Mo 0.870 3.755 3.519
O 2.610 4.698 2.277
O 0.870 1.621 3.028
O 0.870 5.616 4.492
O 2.610 3.250 4.616
O 2.610 0.702 0.812
O 0.870 3.069 0.689
```

Total DFT energy (no corrections): -0.2787 hartree per atom
Space group: P2_1/m
Crystal system: monoclinic


Entry 13:
Below is a geometry-optimized Sm3MoO7 structure, with properties calculated at the PBE+U level.

```
22
Lattice="-2.330 5.871 1.947 -3.672 -2.180 -5.045 -4.676 -3.484 4.910" Properties=species:S:1:pos:R:3 pbc="T T T"
Sm -5.157 -0.009 1.000
Sm -3.184 1.958 -1.643
Sm -6.120 0.078 -2.740
Sm -4.618 0.085 4.614
Sm -7.777 2.108 2.890
Sm -2.842 -1.857 -1.141
Mo -8.335 1.946 -0.640
Mo -0.005 0.003 -0.003
O -7.590 0.149 -0.773
O -1.092 1.546 0.489
O -6.914 2.410 0.611
O -5.762 -3.691 3.297
O -3.825 -2.056 1.108
O -4.747 3.832 -1.509
O -3.270 0.059 2.553
O -9.515 -1.422 1.471
O -4.345 -0.075 -1.233
O -6.333 0.282 3.045
O -3.987 2.072 0.631
O -6.691 -1.865 1.180
O -3.592 4.440 2.688
O -7.086 -4.234 -0.877
```

Total DFT energy (no corrections): -0.2954 hartree per atom
Space group: C222_1
Crystal system: orthorhombic


Entry 14:
Below is a geometry-optimized SmMoO4 structure, with properties calculated at the PBE+U level.

```
12
Lattice="5.928 -0.237 1.961 -3.159 5.021 1.961 -0.137 -0.237 6.242" Properties=species:S:1:pos:R:3 pbc="T T T"
Sm 3.178 2.871 4.502
Sm -0.546 1.675 5.662
Mo 0.838 4.067 7.623
Mo 1.794 0.479 2.541
O -0.797 3.173 7.679
O 1.438 3.173 6.101
O 0.719 0.554 1.019
O 3.429 1.373 2.485
O -1.326 3.637 4.558
O 1.912 3.992 9.145
O 1.194 1.373 4.063
O 3.958 0.909 5.606
```

Total DFT energy (no corrections): -0.2820 hartree per atom
Space group: I4_1/amd
Crystal system: tetragonal


Entry 15:
Below is a geometry-optimized Sm3Mo5O12 structure, with properties calculated at the PBE+U level.

```
80
Lattice="-11.299 -0.580 -2.107 5.476 -7.992 -6.211 1.915 -1.864 11.194" Properties=species:S:1:pos:R:3 pbc="T T T"
Sm -6.181 -3.665 -2.511
Sm -5.540 -6.734 -5.103
Sm 1.067 -7.376 1.547
Sm -1.422 -1.843 2.894
Sm -8.723 -1.972 0.178
Sm -0.336 -5.678 -1.874
Sm -3.572 -4.757 4.749
Sm 4.815 -8.463 2.697
Sm -2.486 -8.593 -0.019
Sm -4.975 -3.059 1.328
Sm 1.632 -3.701 7.978
Sm 2.273 -6.771 5.386
Mo 1.120 -3.535 0.206
Mo 2.738 -3.996 -3.106
Mo 0.000 0.000 0.000
Mo -2.629 -2.448 -0.944
Mo -4.692 -1.222 4.543
Mo -2.912 -4.286 -4.159
Mo 3.413 -6.765 -0.724
Mo -6.114 -3.065 7.438
Mo -4.334 -6.129 -1.265
Mo -2.116 -2.614 6.829
Mo -1.792 -7.821 -3.954
Mo -1.954 -5.218 1.438
Mo -5.649 -0.290 -1.054
Mo 0.958 -0.932 5.597
Mo 0.426 -4.307 4.140
Mo 2.206 -7.371 -4.563
Mo 3.695 -4.928 2.491
Mo -7.321 -3.670 3.599
Mo -1.279 -7.987 3.819
Mo -5.028 -6.900 2.669
O -7.165 -1.586 -1.934
O -0.020 -5.228 0.433
O -8.338 -3.993 -1.001
O -4.669 -2.228 -0.872
O -1.272 -7.234 1.909
O -7.260 -5.680 -3.857
O 1.439 -7.328 -0.794
O 4.219 -7.756 -4.446
O -0.237 -9.292 0.256
O -4.552 -5.276 -3.120
O -5.728 -4.832 -0.497
O -4.382 -7.734 -6.914
O 3.339 -6.736 1.327
O -1.769 -3.526 -2.466
O 4.833 -7.898 -1.681
O -2.959 -2.476 4.961
O 0.549 -1.788 1.120
O -1.364 -5.814 -4.006
O -3.718 -8.466 -4.257
O 0.989 -3.712 -1.836
O 2.704 -9.381 2.129
O -2.471 -6.254 -0.409
O -4.584 -8.154 -1.034
O -5.366 -4.829 6.702
O -1.437 -4.182 3.284
O 0.676 -2.282 3.909
O 1.458 -5.606 -3.827
O -0.190 -1.970 7.132
O -6.612 -1.055 0.746
O -4.897 -6.723 4.711
O -2.544 -4.622 6.881
O -0.949 -7.959 -2.086
O -4.457 -8.648 1.755
O -8.741 -2.538 4.556
O -7.247 -3.699 1.548
O 0.474 -2.701 9.790
O -2.139 -6.909 5.341
O -3.671 -1.144 2.619
O 0.644 -5.159 5.995
O 1.820 -5.604 3.372
O -8.127 -2.679 7.321
O -5.347 -3.108 3.669
O 0.761 -8.207 3.747
O 3.352 -4.756 6.732
O -2.635 -3.202 0.966
O 4.430 -6.443 3.876
O -3.888 -5.207 2.442
O 3.257 -8.850 4.809
```

Total DFT energy (no corrections): -0.2781 hartree per atom
Space group: Ia-3d
Crystal system: cubic